Entry from the Open Quantum Materials Database: an optimized crystal structure of NiB3 (PBE).

abc: 3.0442 3.0442 3.0442
angles: 90.00 90.00 90.00
Sites, in units of the cell vectors:
Ni 0.0000 0.0000 0.0000
B 0.0000 0.5000 0.5000
B 0.5000 0.0000 0.5000
B 0.5000 0.5000 0.0000

Computed properties:
Crystal system: cubic
Space group: Pm-3m (221)
Polymorph energy (0 for the lowest one), kJ/mol of formula units: 78.6

***

Entry from the Open Quantum Materials Database: an optimized crystal structure of Co2SnP3 (PBE).

abc: 3.9806 3.9806 5.6399
angles: 90.00 90.00 90.00
Sites, in units of the cell vectors:
Co 0.0000 0.5000 0.2087
Co 0.5000 0.0000 0.7913
Sn 0.0000 0.0000 0.5000
P 0.0000 0.0000 0.0000
P 0.5000 0.5000 0.0000
P 0.5000 0.5000 0.5000

Computed properties:
Crystal system: tetragonal
Space group: P-4m2 (115)
Final energy, eV/atom: -5.8474

***

Entry from the Open Quantum Materials Database: an optimized crystal structure of Mg2InPd (PBE).

abc: 4.7137 4.7137 4.7137
angles: 60.00 60.00 60.00
Sites, in units of the cell vectors:
Mg 0.0000 0.0000 0.0000
Mg 0.2500 0.2500 0.2500
In 0.5000 0.5000 0.5000
Pd 0.7500 0.7500 0.7500

Computed properties:
Crystal system: cubic
Space group: F-43m (216)
Final energy, eV/atom: -3.1158

***

Entry from the Open Quantum Materials Database: an optimized crystal structure of SrTmTe3Pd (PBE).

abc: 7.7969 7.7969 11.0197
angles: 90.00 90.00 148.66
Sites, in units of the cell vectors:
Sr 0.2372 0.7628 0.7500
Sr 0.7628 0.2372 0.2500
Tm 0.0000 0.0000 0.0000
Tm 0.0000 0.0000 0.5000
Te 0.0840 0.9160 0.2500
Te 0.3579 0.6421 0.0543
Te 0.3579 0.6421 0.4457
Te 0.6421 0.3579 0.5543
Te 0.6421 0.3579 0.9457
Te 0.9160 0.0840 0.7500
Pd 0.4712 0.5288 0.2500
Pd 0.5288 0.4712 0.7500

Computed properties:
Crystal system: orthorhombic
Space group: Cmcm (63)
Polymorph energy (0 for the lowest one), kJ/mol of formula units: 12.6

***

Entry from the Open Quantum Materials Database: an optimized crystal structure of SmCoSi2Os (PBE).

abc: 5.7209 5.7209 5.7209
angles: 138.46 138.46 60.21
Sites, in units of the cell vectors:
Sm 0.0000 0.0000 0.0000
Co 0.7500 0.2500 0.5000
Si 0.3706 0.3706 0.0000
Si 0.6294 0.6294 0.0000
Os 0.2500 0.7500 0.5000

Computed properties:
Crystal system: tetragonal
Space group: I-4m2 (119)
Final energy, eV/atom: -7.5382

***

Entry from the Open Quantum Materials Database: an optimized crystal structure of YTmGe2Pt (PBE).

abc: 5.6344 5.6344 10.3335
angles: 114.91 114.91 45.26
Sites, in units of the cell vectors:
Y 0.1885 0.1885 0.1136
Y 0.8115 0.8115 0.8864
Tm 0.0096 0.0096 0.3295
Tm 0.9904 0.9904 0.6705
Ge 0.3569 0.3569 0.4478
Ge 0.4749 0.4749 0.1145
Ge 0.5251 0.5251 0.8855
Ge 0.6431 0.6431 0.5522
Pt 0.2720 0.2720 0.6635
Pt 0.7280 0.7280 0.3365

Computed properties:
Crystal system: monoclinic
Space group: C2/m (12)
Final energy, eV/atom: -6.2606